CdReSi2: optimized geometry, PBE.

abc: 3.073 3.089 7.337
angles: 77.37 90.00 90.00
Fractional positions:
Si1 0.000 0.350 0.563
Si2 0.000 0.150 0.937
Re1 0.500 0.750 0.750
Cd1 0.500 0.250 0.250

Computed properties:
SG   P2/m (10)
Uncorrected energy   -23.68 eV per cell
Fermi-level density of states   2.040 states/eV/cell
Uncorrected formation energy   13 kJ/mol of atoms
M_tot   0.00 μB per formula unit

CdReSi2: optimized geometry, PBE.

abc: 3.166 4.910 4.149
angles: 90.00 90.00 90.00
Fractional positions:
Si1 0.000 0.000 0.000
Si2 0.500 0.500 0.000
Re1 0.000 0.500 0.500
Cd1 0.500 0.000 0.500

Computed properties:
SG   Pmmm (47)
Uncorrected energy   -21.53 eV per cell
Fermi-level density of states   1.978 states/eV/cell
Uncorrected formation energy   65 kJ/mol of atoms
M_tot   0.00 μB per formula unit